(1)
LiAsCl4 | GGA-PBE | relaxed

Theoretical density ... 2.40 g/cm3
Excess energy over the best structure of this formula in the dataset ... 1431.4 meV per atom
Formation energy from raw total energies ... 0.4117 eV/atom
Volume ... 154.73 Å³/f.u.

Structure (CIF):
```
data_LiAsCl4
_chemical_formula_sum 'Li4 As4 Cl16'
_space_group_name_H-M_alt 'F -4 3 m'
_space_group_IT_number 216
_space_group_name_Hall 'F -4 2 3'
_cell_length_a 8.5221
_cell_length_b 8.5221
_cell_length_c 8.5221
_cell_angle_alpha 90.00
_cell_angle_beta 90.00
_cell_angle_gamma 90.00
loop_
_atom_site_label
_atom_site_type_symbol
_atom_site_fract_x
_atom_site_fract_y
_atom_site_fract_z
Li1 Li 0.0000 0.0000 0.0000
As1 As 0.2500 0.2500 0.7500
Cl1 Cl 0.1247 0.1247 0.3753
```

=====

(2)
Li2AsCl | GGA-PBE | relaxed

Theoretical density ... 2.91 g/cm3
Excess energy over the best structure of this formula in the dataset ... 491.0 meV per atom
Formation energy from raw total energies ... -0.4950 eV/atom
Volume ... 70.93 Å³/f.u.

Structure (CIF):
```
data_Li2AsCl
_chemical_formula_sum 'Li4 As2 Cl2'
_space_group_name_H-M_alt 'I 4/m m m'
_space_group_IT_number 139
_space_group_name_Hall '-I 4 2'
_cell_length_a 4.3261
_cell_length_b 4.3261
_cell_length_c 7.5798
_cell_angle_alpha 90.00
_cell_angle_beta 90.00
_cell_angle_gamma 90.00
loop_
_atom_site_label
_atom_site_type_symbol
_atom_site_fract_x
_atom_site_fract_y
_atom_site_fract_z
Li1 Li 0.0000 0.5000 0.2500
As1 As 0.0000 0.0000 0.0000
Cl1 Cl 0.0000 0.0000 0.5000
```

=====

(3)
LiAsCl | GGA-PBE | relaxed

Theoretical density ... 3.15 g/cm3
Excess energy over the best structure of this formula in the dataset ... 578.0 meV per atom
Formation energy from raw total energies ... 0.0226 eV/atom
Volume ... 61.90 Å³/f.u.

Structure (CIF):
```
data_LiAsCl
_chemical_formula_sum 'Li4 As4 Cl4'
_space_group_name_H-M_alt 'F -4 3 m'
_space_group_IT_number 216
_space_group_name_Hall 'F -4 2 3'
_cell_length_a 6.2795
_cell_length_b 6.2795
_cell_length_c 6.2795
_cell_angle_alpha 90.00
_cell_angle_beta 90.00
_cell_angle_gamma 90.00
loop_
_atom_site_label
_atom_site_type_symbol
_atom_site_fract_x
_atom_site_fract_y
_atom_site_fract_z
Li1 Li 0.0000 0.0000 0.0000
As1 As 0.2500 0.2500 0.2500
Cl1 Cl 0.2500 0.2500 0.7500
```